1.
{"formula": "HgAs2Pb", "functional": "PBE", "state": "optimized geometry", "lattice": [[2.0464, -2.5596, 0.0000], [2.0464, 2.5596, 0.0000], [0.0000, 0.0000, 9.1426]], "species": ["Hg", "As", "As", "Pb"], "frac_coords": [[0.0000, 0.0000, 0.0000], [0.5000, 0.5000, 0.2338], [0.5000, 0.5000, 0.7662], [0.0000, 0.0000, 0.5000]], "dft_energy_ev_per_atom": -2.992, "density_g_cm3": 9.7}


2.
{"formula": "In2PtSe", "functional": "PBE", "state": "optimized geometry", "lattice": [[3.3938, 0.0000, 0.0000], [0.0000, 3.3938, 0.0000], [0.0000, 0.0000, 7.2358]], "species": ["In", "In", "Pt", "Se"], "frac_coords": [[0.0000, 0.0000, 0.2288], [0.0000, 0.0000, 0.7712], [0.5000, 0.5000, 0.0000], [0.5000, 0.5000, 0.5000]], "e_form_raw_ev_per_atom": -0.13, "density_g_cm3": 10.0}


3.
{"formula": "Na2Ag2Sn3", "functional": "PBE", "state": "optimized geometry", "lattice": [[5.5103, -2.3124, 0.0000], [5.5103, 2.3124, 0.0000], [-3.2107, 0.0000, 7.0226]], "species": ["Na", "Na", "Ag", "Ag", "Sn", "Sn", "Sn"], "frac_coords": [[0.1589, 0.1589, 0.3010], [0.8411, 0.8411, 0.6990], [0.1278, 0.1278, 0.7162], [0.8722, 0.8722, 0.2838], [0.3774, 0.3774, 0.0479], [0.5000, 0.5000, 0.5000], [0.6226, 0.6226, 0.9521]], "dft_energy_ev_per_atom": -3.010, "density_g_cm3": 5.7}


4.
{"formula": "ErMg2Au3", "functional": "PBE", "state": "optimized geometry", "lattice": [[4.7742, 0.0000, 0.0000], [-2.3871, 4.1346, 0.0000], [0.0000, 0.0000, 12.0644]], "species": ["Er", "Er", "Mg", "Mg", "Mg", "Mg", "Au", "Au", "Au", "Au", "Au", "Au"], "frac_coords": [[0.3333, 0.6667, 0.1719], [0.6667, 0.3333, 0.8281], [0.0000, 0.0000, 0.0000], [0.0000, 0.0000, 0.5000], [0.3333, 0.6667, 0.6585], [0.6667, 0.3333, 0.3415], [0.0000, 0.0000, 0.2679], [0.0000, 0.0000, 0.7321], [0.3333, 0.6667, 0.4192], [0.3333, 0.6667, 0.9238], [0.6667, 0.3333, 0.0762], [0.6667, 0.3333, 0.5808]], "dft_energy_ev_per_atom": -3.644, "density_g_cm3": 11.3}


5.
{"formula": "ThNi5Ir2", "functional": "PBE", "state": "optimized geometry", "lattice": [[-1.8970, 3.4401, 4.6256], [1.8970, -3.4401, 4.6256], [1.8970, 3.4401, -4.6256]], "species": ["Th", "Ni", "Ni", "Ni", "Ni", "Ni", "Ir", "Ir"], "frac_coords": [[0.0000, 0.0000, 0.0000], [0.1938, 0.3675, 0.8264], [0.4589, 0.6325, 0.8264], [0.5000, 0.0000, 0.5000], [0.5411, 0.3675, 0.1736], [0.8062, 0.6325, 0.1736], [0.2368, 0.7368, 0.5000], [0.7632, 0.2632, 0.5000]], "dft_energy_ev_per_atom": -6.858, "density_g_cm3": 12.5}


6.
{"formula": "KNa12Cd6", "functional": "PBE", "state": "optimized geometry", "lattice": [[7.1186, 4.1099, 3.6978], [-7.1186, 4.1099, 3.6978], [0.0000, -8.2199, 3.6978]], "species": ["K", "Na", "Na", "Na", "Na", "Na", "Na", "Na", "Na", "Na", "Na", "Na", "Na", "Cd", "Cd", "Cd", "Cd", "Cd", "Cd"], "frac_coords": [[0.0000, 0.0000, 0.0000], [0.1147, 0.5000, 0.8853], [0.1147, 0.8853, 0.5000], [0.1474, 0.4151, 0.4151], [0.4151, 0.1474, 0.4151], [0.4151, 0.4151, 0.1474], [0.5000, 0.1147, 0.8853], [0.5000, 0.8853, 0.1147], [0.5849, 0.5849, 0.8526], [0.5849, 0.8526, 0.5849], [0.8526, 0.5849, 0.5849], [0.8853, 0.1147, 0.5000], [0.8853, 0.5000, 0.1147], [0.2704, 0.2704, 0.7065], [0.2704, 0.7065, 0.2704], [0.2935, 0.7296, 0.7296], [0.7065, 0.2704, 0.2704], [0.7296, 0.2935, 0.7296], [0.7296, 0.7296, 0.2935]], "dft_energy_ev_per_atom": -1.170, "density_g_cm3": 2.5}